No. 1
# FeNiB

A relaxed structure of FeNiB (PBE, OQMD).

Cell: 4.1484 4.1484 4.1484 Å, 118.64 104.93 105.25°
Fractional positions:
Ni  0.2477  0.8325  0.9152
Ni  0.9174  0.3325  0.0848
B  0.7504  0.7504  0.0000
B  0.7504  0.2504  0.5000
Fe  0.2494  0.1671  0.5823
Fe  0.5847  0.6671  0.4177



No. 2
# FeNiB

A relaxed structure of FeNiB (PBE, OQMD).

Cell: 5.4773 3.1384 6.3624 Å, 90.00 90.00 90.00°
Fractional positions:
B  0.7631  0.2500  0.6302
B  0.2631  0.2500  0.8698
Ni  0.3523  0.7500  0.0618
Ni  0.6477  0.2500  0.9382
B  0.2369  0.7500  0.3698
Ni  0.1477  0.2500  0.5618
Fe  0.0267  0.2500  0.1655
Fe  0.4733  0.7500  0.6655
Fe  0.9733  0.7500  0.8345
Ni  0.8523  0.7500  0.4382
B  0.7369  0.7500  0.1302
Fe  0.5267  0.2500  0.3345



No. 3
# FeNi2B

A relaxed structure of FeNi2B (PBE, OQMD).

Cell: 3.7895 3.7895 3.7895 Å, 60.00 60.00 60.00°
Fractional positions:
Fe  0.0000  0.0000  0.0000
Ni  0.5000  0.5000  0.5000
Ni  0.7500  0.7500  0.7500
B  0.2500  0.2500  0.2500



No. 4
# FeNiB

A relaxed structure of FeNiB (PBE, OQMD).

Cell: 5.0451 4.1710 4.1101 Å, 75.06 53.02 51.92°
Fractional positions:
Fe  0.1676  0.8324  0.1676
B  0.7500  0.7500  0.7500
B  0.2500  0.2500  0.2500
Fe  0.8324  0.1676  0.8324
Ni  0.6684  0.6684  0.3316
Ni  0.3316  0.3316  0.6684



No. 5
# Fe2NiB

A relaxed structure of Fe2NiB (PBE, OQMD).

Cell: 5.3415 6.5889 4.4244 Å, 90.00 90.00 90.00°
Fractional positions:
B  0.6233  0.7500  0.5539
Fe  0.3197  0.5608  0.6485
Ni  0.0278  0.2500  0.6317
Fe  0.3197  0.9392  0.6485
B  0.1233  0.7500  0.9461
Ni  0.9722  0.7500  0.3683
B  0.3767  0.2500  0.4461
Fe  0.6803  0.0608  0.3515
Fe  0.1803  0.4392  0.1485
Fe  0.8197  0.9392  0.8515
Fe  0.1803  0.0608  0.1485
Fe  0.6803  0.4392  0.3515
Fe  0.8197  0.5608  0.8515
B  0.8767  0.2500  0.0539
Ni  0.4722  0.7500  0.1317
Ni  0.5278  0.2500  0.8683



No. 6
# FeNiBOs

A relaxed structure of FeNiBOs (PBE, OQMD).

Cell: 3.9675 3.9675 3.9675 Å, 60.00 60.00 60.00°
Fractional positions:
Fe  0.7500  0.7500  0.7500
Ni  0.2500  0.2500  0.2500
B  0.0000  0.0000  0.0000
Os  0.5000  0.5000  0.5000



No. 7
# FeNiBOs

A relaxed structure of FeNiBOs (PBE, OQMD).

Cell: 3.8985 3.8985 3.8985 Å, 60.00 60.00 60.00°
Fractional positions:
B  0.0000  0.0000  0.0000
Os  0.2500  0.2500  0.2500
Fe  0.7500  0.7500  0.7500
Ni  0.5000  0.5000  0.5000



No. 8
# FeReNiB

A relaxed structure of FeReNiB (PBE, OQMD).

Cell: 3.8999 3.8999 3.8999 Å, 60.00 60.00 60.00°
Fractional positions:
Re  0.2500  0.2500  0.2500
Fe  0.7500  0.7500  0.7500
B  0.0000  0.0000  0.0000
Ni  0.5000  0.5000  0.5000



No. 9
# FeReNiB

A relaxed structure of FeReNiB (PBE, OQMD).

Cell: 3.9317 3.9317 3.9317 Å, 60.00 60.00 60.00°
Fractional positions:
Ni  0.2500  0.2500  0.2500
B  0.0000  0.0000  0.0000
Fe  0.7500  0.7500  0.7500
Re  0.5000  0.5000  0.5000



No. 10
# SmFeNi3B

A relaxed structure of SmFeNi3B (PBE, OQMD).

Cell: 5.0691 5.0691 7.0071 Å, 90.00 90.00 120.00°
Fractional positions:
Ni  0.5000  0.0000  0.2952
Ni  0.5000  0.5000  0.2952
Ni  0.5000  0.5000  0.7048
Ni  0.0000  0.5000  0.7048
Sm  0.0000  0.0000  0.5000
B  0.3333  0.6667  0.5000
Fe  0.3333  0.6667  0.0000
B  0.6667  0.3333  0.5000
Sm  0.0000  0.0000  0.0000
Ni  0.5000  0.0000  0.7048
Ni  0.0000  0.5000  0.2952
Fe  0.6667  0.3333  0.0000



No. 11
# FeTcNiB

A relaxed structure of FeTcNiB (PBE, OQMD).

Cell: 3.9406 3.9406 3.9406 Å, 60.00 60.00 60.00°
Fractional positions:
Tc  0.2500  0.2500  0.2500
B  0.0000  0.0000  0.0000
Fe  0.5000  0.5000  0.5000
Ni  0.7500  0.7500  0.7500



No. 12
# FeTcNiB

A relaxed structure of FeTcNiB (PBE, OQMD).

Cell: 3.8927 3.8927 3.8927 Å, 60.00 60.00 60.00°
Fractional positions:
Tc  0.2500  0.2500  0.2500
Fe  0.7500  0.7500  0.7500
Ni  0.5000  0.5000  0.5000
B  0.0000  0.0000  0.0000



Electronic total energy
In order: -7.09, -7.12, -6.39, -7.11, -7.42, -7.31, -7.65, -7.98, -7.70, -6.41, -7.52, -7.53
Unit: eV/atom